# 1
{"formula": "Ho8CuAg2", "functional": "GGA-PBE", "state": "relaxed", "cell": [[-2.390, -4.564, -0.313], [5.913, -2.993, -1.500], [0.428, 2.085, 8.875]], "species": ["Ho", "Ho", "Ho", "Ho", "Ho", "Ho", "Ho", "Ho", "Cu", "Ag", "Ag"], "frac_coords": [[0.409, 0.552, 0.818], [0.662, 0.973, 0.324], [0.800, 0.688, 0.601], [0.973, 0.218, 0.946], [0.200, 0.312, 0.399], [0.338, 0.027, 0.676], [0.591, 0.448, 0.182], [0.027, 0.782, 0.054], [0.500, 0.000, 0.000], [0.815, 0.276, 0.630], [0.185, 0.724, 0.370]], "space_group": "No. 12", "dos_ef_per_ev_fu": 10.5, "dft_energy_ev_per_atom": -4.3402}

---

# 2
{"formula": "Ho2Cu3Ag", "functional": "GGA-PBE", "state": "relaxed", "cell": [[-5.019, 0.621, -2.376], [-0.588, -4.850, 2.712], [0.362, 5.839, 5.963]], "species": ["Ho", "Ho", "Ho", "Ho", "Cu", "Cu", "Cu", "Cu", "Cu", "Cu", "Ag", "Ag"], "frac_coords": [[0.250, 0.750, 0.500], [0.753, 0.753, 0.000], [0.750, 0.250, 0.500], [0.247, 0.247, 0.000], [0.323, 0.839, 0.161], [0.161, 0.677, 0.839], [0.677, 0.161, 0.839], [0.839, 0.323, 0.161], [0.162, 0.162, 0.324], [0.838, 0.838, 0.676], [0.667, 0.667, 0.333], [0.333, 0.333, 0.667]], "space_group": "No. 69", "dos_ef_per_ev_fu": 3.6, "dft_energy_ev_per_atom": -4.2840}

---

# 3
{"formula": "Ho2CuAg", "functional": "GGA-PBE", "state": "relaxed", "cell": [[-3.650, 1.111, -1.318], [-1.136, -0.875, -3.773], [-4.285, -6.095, 0.545]], "species": ["Cu", "Ho", "Ho", "Ag"], "frac_coords": [[0.000, 0.000, 0.000], [0.743, 0.743, 0.772], [0.257, 0.257, 0.228], [0.500, 0.500, 0.500]], "space_group": "No. 166", "dos_ef_per_ev_fu": 3.6, "relative_energy_ev_per_atom": 0.239}

---

# 4
{"formula": "HoCu2Ag", "functional": "GGA-PBE", "state": "relaxed", "cell": [[-3.079, 1.304, 0.493], [-0.337, -1.857, 2.804], [2.483, 4.599, 3.344]], "species": ["Cu", "Cu", "Ho", "Ag"], "frac_coords": [[0.000, 0.000, 0.784], [0.000, 0.000, 0.216], [0.500, 0.500, 0.500], [0.500, 0.500, 0.000]], "space_group": "No. 123", "dos_ef_per_ev_fu": 1.2, "relative_energy_ev_per_atom": 0.050}